Below is a geometry-optimized NiPdS structure, with properties calculated at the PBE level.

a = 5.637 Å, b = 5.637 Å, c = 5.637 Å
α = 90.00°, β = 90.00°, γ = 90.00°
Element x y z (fractional)
Ni 0.564 0.936 0.064
Ni 0.436 0.436 0.436
Ni 0.936 0.064 0.564
Ni 0.064 0.564 0.936
Pd 0.171 0.171 0.171
Pd 0.829 0.671 0.329
Pd 0.329 0.829 0.671
Pd 0.671 0.329 0.829
S 0.435 0.565 0.065
S 0.565 0.065 0.435
S 0.065 0.435 0.565
S 0.935 0.935 0.935

Total moment, μB/cell: 0.00
Electronic total energy, eV per atom: -5.0600



Below is a geometry-optimized NbAlGa2 structure, with properties calculated at the PBE level.

a = 5.097 Å, b = 5.097 Å, c = 5.097 Å
α = 135.85°, β = 135.85°, γ = 64.21°
Element x y z (fractional)
Al 0.500 0.500 0.000
Ga 0.750 0.250 0.500
Ga 0.250 0.750 0.500
Nb 0.000 0.000 0.000

Total moment, μB/cell: 0.00
Electronic total energy, eV per atom: -5.3018



Below is a geometry-optimized Hf4Nb2Ni3C3 structure, with properties calculated at the PBE level.

a = 5.573 Å, b = 5.573 Å, c = 13.246 Å
α = 90.10°, β = 102.05°, γ = 119.99°
Element x y z (fractional)
C 0.332 0.165 0.000
C 0.000 0.500 0.000
C 0.668 0.835 0.000
C 0.665 0.332 0.500
C 0.000 0.000 0.500
C 0.335 0.668 0.500
Hf 0.069 0.200 0.107
Hf 0.405 0.872 0.107
Hf 0.265 0.298 0.393
Hf 0.592 0.962 0.393
Hf 0.408 0.038 0.607
Hf 0.735 0.702 0.607
Hf 0.595 0.128 0.893
Hf 0.931 0.800 0.893
Nb 0.729 0.530 0.089
Nb 0.941 0.640 0.411
Nb 0.059 0.360 0.589
Nb 0.271 0.470 0.911
Ni 0.552 0.580 0.250
Ni 0.113 0.863 0.250
Ni 0.831 0.302 0.250
Ni 0.169 0.698 0.750
Ni 0.887 0.137 0.750
Ni 0.448 0.420 0.750

Total moment, μB/cell: 0.00
Electronic total energy, eV per atom: -9.1732



Below is a geometry-optimized NbBNO structure, with properties calculated at the PBE level.

a = 2.703 Å, b = 4.384 Å, c = 6.110 Å
α = 90.00°, β = 90.00°, γ = 90.00°
Element x y z (fractional)
B 0.500 0.003 0.136
B 0.500 0.503 0.864
N 0.000 0.947 0.262
N 0.000 0.447 0.738
Nb 0.000 0.451 0.365
Nb 0.000 0.951 0.635
O 0.500 0.353 0.083
O 0.500 0.853 0.917

Total moment, μB/cell: 0.00
Excess energy over the best structure of this formula in the dataset, eV per atom: 0.000
Electronic total energy, eV per atom: -8.7247



Below is a geometry-optimized Ga2PdI6Cl2 structure, with properties calculated at the PBE level.

a = 8.065 Å, b = 8.065 Å, c = 7.969 Å
α = 95.18°, β = 95.18°, γ = 67.26°
Element x y z (fractional)
Cl 0.374 0.374 0.312
Cl 0.626 0.626 0.688
Ga 0.216 0.216 0.340
Ga 0.784 0.784 0.660
I 0.908 0.326 0.150
I 0.326 0.908 0.150
I 0.831 0.831 0.361
I 0.169 0.169 0.639
I 0.674 0.092 0.850
I 0.092 0.674 0.850
Pd 0.000 0.000 0.000

Excess energy over the best structure of this formula in the dataset, eV per atom: 0.000
Electronic total energy, eV per atom: -2.7700



Below is a geometry-optimized InPt17 structure, with properties calculated at the PBE level.

a = 5.563 Å, b = 5.563 Å, c = 33.504 Å
α = 90.00°, β = 90.00°, γ = 60.00°
Element x y z (fractional)
In 0.333 0.333 0.211
In 0.667 0.667 0.789
Pt 0.834 0.332 0.224
Pt 0.332 0.834 0.224
Pt 0.834 0.834 0.224
Pt 0.499 0.002 0.293
Pt 0.002 0.499 0.293
Pt 0.499 0.499 0.293
Pt 0.000 0.000 0.293
Pt 0.167 0.167 0.362
Pt 0.666 0.167 0.362
Pt 0.167 0.666 0.362
Pt 0.667 0.667 0.363
Pt 0.333 0.333 0.431
Pt 0.833 0.333 0.431
Pt 0.333 0.833 0.431
Pt 0.833 0.833 0.431
Pt 0.500 0.500 0.500
Pt 0.500 0.000 0.500
Pt 0.000 0.500 0.500
Pt 0.000 0.000 0.500
Pt 0.167 0.167 0.569
Pt 0.667 0.167 0.569
Pt 0.167 0.667 0.569
Pt 0.667 0.667 0.569
Pt 0.333 0.333 0.637
Pt 0.833 0.334 0.638
Pt 0.334 0.833 0.638
Pt 0.833 0.833 0.638
Pt 0.000 0.000 0.707
Pt 0.501 0.501 0.707
Pt 0.998 0.501 0.707
Pt 0.501 0.998 0.707
Pt 0.166 0.166 0.776
Pt 0.668 0.166 0.776
Pt 0.166 0.668 0.776

Total moment, μB/cell: 0.05
Electronic total energy, eV per atom: -5.8414



Below is a geometry-optimized TbErW2C3 structure, with properties calculated at the PBE level.

a = 6.130 Å, b = 6.130 Å, c = 5.709 Å
α = 111.56°, β = 111.56°, γ = 31.39°
Element x y z (fractional)
C 0.999 0.999 0.003
C 0.752 0.752 0.265
C 0.250 0.250 0.736
Er 0.389 0.389 0.177
Tb 0.609 0.609 0.819
W 0.156 0.156 0.326
W 0.845 0.845 0.674

Total moment, μB/cell: 0.01
Electronic total energy, eV per atom: -9.3175



Below is a geometry-optimized GdAuNO structure, with properties calculated at the PBE level.

a = 4.987 Å, b = 4.987 Å, c = 4.535 Å
α = 90.00°, β = 90.00°, γ = 90.00°
Element x y z (fractional)
Au 0.250 0.250 0.005
Au 0.750 0.750 0.995
Gd 0.750 0.250 0.500
Gd 0.250 0.750 0.500
N 0.750 0.750 0.495
N 0.250 0.250 0.505
O 0.750 0.250 0.000
O 0.250 0.750 0.000

Total moment, μB/cell: 0.00
Excess energy over the best structure of this formula in the dataset, eV per atom: 0.287
Electronic total energy, eV per atom: -6.2001



Below is a geometry-optimized BiPd15 structure, with properties calculated at the PBE level.

a = 3.992 Å, b = 7.967 Å, c = 42.872 Å
α = 89.99°, β = 90.00°, γ = 89.97°
Element x y z (fractional)
Bi 0.000 0.668 0.157
Bi 0.500 0.331 0.157
Bi 0.500 0.669 0.843
Bi 0.000 0.332 0.843
Pd 0.500 0.892 0.163
Pd 0.000 0.108 0.163
Pd 0.500 0.622 0.206
Pd 0.000 0.377 0.206
Pd 0.000 0.875 0.210
Pd 0.500 0.124 0.210
Pd 0.000 0.620 0.253
Pd 0.500 0.379 0.253
Pd 0.500 0.870 0.255
Pd 0.000 0.129 0.255
Pd 0.500 0.127 0.299
Pd 0.000 0.873 0.299
Pd 0.000 0.377 0.300
Pd 0.500 0.623 0.300
Pd 0.500 0.875 0.344
Pd 0.000 0.124 0.344
Pd 0.500 0.375 0.344
Pd 0.000 0.625 0.344
Pd 0.000 0.875 0.388
Pd 0.500 0.124 0.388
Pd 0.000 0.374 0.389
Pd 0.500 0.625 0.389
Pd 0.500 0.375 0.433
Pd 0.000 0.625 0.433
Pd 0.000 0.125 0.433
Pd 0.500 0.875 0.433
Pd 0.000 0.375 0.478
Pd 0.500 0.625 0.478
Pd 0.000 0.875 0.478
Pd 0.500 0.125 0.478
Pd 0.500 0.875 0.522
Pd 0.000 0.125 0.522
Pd 0.500 0.375 0.522
Pd 0.000 0.625 0.522
Pd 0.500 0.125 0.567
Pd 0.000 0.875 0.567
Pd 0.000 0.375 0.567
Pd 0.500 0.625 0.567
Pd 0.500 0.375 0.611
Pd 0.000 0.626 0.611
Pd 0.500 0.876 0.612
Pd 0.000 0.125 0.612
Pd 0.000 0.375 0.656
Pd 0.500 0.625 0.656
Pd 0.000 0.876 0.656
Pd 0.500 0.125 0.656
Pd 0.500 0.377 0.700
Pd 0.000 0.623 0.700
Pd 0.000 0.127 0.701
Pd 0.500 0.873 0.701
Pd 0.000 0.871 0.745
Pd 0.500 0.130 0.745
Pd 0.500 0.621 0.747
Pd 0.000 0.380 0.747
Pd 0.500 0.876 0.790
Pd 0.000 0.125 0.790
Pd 0.000 0.622 0.794
Pd 0.500 0.378 0.794
Pd 0.000 0.892 0.837
Pd 0.500 0.108 0.837

Excess energy over the best structure of this formula in the dataset, eV per atom: 0.011
Electronic total energy, eV per atom: -5.1176